This record from the Alexandria database describes a relaxed structure of RbMg6Fe. The functional is PBE.

Energy relative to the elements   283 kJ/mol of formula units
Energy   -2.01 eV per atom
M_tot   2.131 μB/f.u.

Unit cell a=9.429 b=9.429 c=4.822 alpha=90.00 beta=90.00 gamma=143.44
Positions (direct):
Rb: 0.274 0.726 0.500
Mg: 0.714 0.778 0.000
Mg: 0.222 0.286 0.000
Mg: 0.631 0.369 0.000
Mg: 0.837 0.685 0.500
Mg: 0.315 0.163 0.500
Mg: 0.911 0.089 0.500
Fe: 0.095 0.905 0.000